No. 1
DFT (PBE) results for a geometry-optimized ScNi23Pt6 structure.

```
data_ScNi23Pt6
_chemical_formula_sum 'Sc4 Ni92 Pt24'
_cell_length_a 11.4196
_cell_length_b 11.4196
_cell_length_c 11.4196
_cell_angle_alpha 90.00
_cell_angle_beta 90.00
_cell_angle_gamma 90.00
_space_group_name_H-M_alt 'F m -3 m'
_space_group_IT_number 225
_space_group_name_Hall '-F 4 2 3'
loop_
_atom_site_label
_atom_site_type_symbol
_atom_site_fract_x
_atom_site_fract_y
_atom_site_fract_z
Sc1 Sc 0.0000 0.0000 0.0000
Ni1 Ni 0.0000 0.0000 0.5000
Ni2 Ni 0.0000 0.2500 0.2500
Ni3 Ni 0.1250 0.1250 0.3750
Ni4 Ni 0.1598 0.1598 0.1598
Pt1 Pt 0.0000 0.0000 0.2363
```

- Energy relative to the elements: -0.0436 eV per atom
- E_tot: -5.8952 eV/atom

=====

No. 2
DFT (PBE) results for a geometry-optimized Sc6Ni2Pt structure.

```
data_Sc6Ni2Pt
_chemical_formula_sum 'Sc24 Ni8 Pt4'
_cell_length_a 8.7248
_cell_length_b 8.8383
_cell_length_c 9.0030
_cell_angle_alpha 90.00
_cell_angle_beta 90.00
_cell_angle_gamma 90.00
_space_group_name_H-M_alt 'I m m m'
_space_group_IT_number 71
_space_group_name_Hall '-I 2 2'
loop_
_atom_site_label
_atom_site_type_symbol
_atom_site_fract_x
_atom_site_fract_y
_atom_site_fract_z
Sc1 Sc 0.0000 0.2043 0.1717
Sc2 Sc 0.1808 0.2276 0.5000
Sc3 Sc 0.1934 0.5000 0.2521
Ni1 Ni 0.0000 0.0000 0.3731
Ni2 Ni 0.1503 0.0000 0.0000
Pt1 Pt 0.0000 0.5000 0.0000
Pt2 Pt 0.0000 0.5000 0.5000
```

- Energy relative to the elements: -0.5575 eV per atom
- E_tot: -6.7345 eV/atom

=====

No. 3
DFT (PBE) results for a geometry-optimized Sc2Si3NiPt4 structure.

```
data_Sc2Si3NiPt4
_chemical_formula_sum 'Sc2 Si3 Ni1 Pt4'
_cell_length_a 3.9496
_cell_length_b 3.9496
_cell_length_c 10.5038
_cell_angle_alpha 90.00
_cell_angle_beta 90.00
_cell_angle_gamma 90.00
_space_group_name_H-M_alt 'P -4 m 2'
_space_group_IT_number 115
loop_
_space_group_symop_operation_xyz
'x,y,z'
'y,-x,-z'
'-x,-y,z'
'-y,x,-z'
'-x,y,z'
'-y,-x,-z'
'x,-y,z'
'y,x,-z'
loop_
_atom_site_label
_atom_site_type_symbol
_atom_site_fract_x
_atom_site_fract_y
_atom_site_fract_z
Sc1 Sc 0.0000 0.5000 0.2398
Si1 Si 0.0000 0.0000 0.0000
Si2 Si 0.0000 0.5000 0.6397
Ni1 Ni 0.5000 0.5000 0.0000
Pt1 Pt 0.0000 0.0000 0.5000
Pt2 Pt 0.0000 0.5000 0.8572
Pt3 Pt 0.5000 0.5000 0.5000
```

- E_tot: -6.7692 eV/atom

=====

No. 4
DFT (PBE) results for a geometry-optimized Sc2Si4NiPt3 structure.

```
data_Sc2Si4NiPt3
_chemical_formula_sum 'Sc2 Si4 Ni1 Pt3'
_cell_length_a 3.8993
_cell_length_b 3.8993
_cell_length_c 10.4945
_cell_angle_alpha 90.00
_cell_angle_beta 90.00
_cell_angle_gamma 90.00
_space_group_name_H-M_alt 'P -4 m 2'
_space_group_IT_number 115
loop_
_space_group_symop_operation_xyz
'x,y,z'
'y,-x,-z'
'-x,-y,z'
'-y,x,-z'
'-x,y,z'
'-y,-x,-z'
'x,-y,z'
'y,x,-z'
loop_
_atom_site_label
_atom_site_type_symbol
_atom_site_fract_x
_atom_site_fract_y
_atom_site_fract_z
Sc1 Sc 0.0000 0.5000 0.2281
Si1 Si 0.0000 0.0000 0.5000
Si2 Si 0.0000 0.5000 0.8655
Si3 Si 0.5000 0.5000 0.5000
Ni1 Ni 0.5000 0.5000 0.0000
Pt1 Pt 0.0000 0.0000 0.0000
Pt2 Pt 0.0000 0.5000 0.6397
```

- E_tot: -6.7568 eV/atom

=====

no.,volume (Å³/atom)
1,12.4
2,19.3
3,16.4
4,16.0